A relaxed Rb2Pm2FeO6 crystal, computed with PBE with a Hubbard U.

extended XYZ file:
```
11
Lattice="2.9747 -5.1331 0.0000 2.9747 5.1331 0.0000 -1.7036 0.0000 6.6755" Properties=species:S:1:pos:R:3 pbc="T T T"
Rb 2.9747 3.4735 0.0000
Rb 2.9747 -3.4735 0.0000
Pm 2.1229 1.7186 3.3377
Pm 2.1229 -1.7186 3.3377
Fe -0.8518 0.0000 3.3377
O 0.0477 1.5806 4.4492
O 0.7668 0.0000 2.2847
O 0.0477 -1.5806 4.4492
O 4.1982 1.5806 2.2263
O 3.4791 0.0000 4.3908
O 4.1982 -1.5806 2.2263
```

Results
**Energy**: -6.383 eV/atom
**DOS(E_F)**: 2.49 states/eV/cell